The following is a DFT calculation (GGA-PBE) of a relaxed structure of LaPmSm3Th.

Properties
* crystal system: monoclinic

Cell and atoms, written as CIF:
```
data_LaPmSm3Th
_space_group_name_H-M_alt 'P 1 21/m 1'
_space_group_IT_number 11
_space_group_name_Hall '-P 2yb'
_cell_length_a 8.1459
_cell_length_b 5.1538
_cell_length_c 10.3017
_cell_angle_alpha 90.00
_cell_angle_beta 108.22
_cell_angle_gamma 90.00
loop_
_atom_site_label
_atom_site_type_symbol
_atom_site_fract_x
_atom_site_fract_y
_atom_site_fract_z
La1 La 0.1774 0.2500 0.2956
Pm1 Pm 0.4976 0.7500 0.8697
Sm1 Sm 0.1720 0.2500 0.7916
Sm2 Sm 0.1716 0.7500 0.0445
Sm3 Sm 0.1785 0.7500 0.5436
Th1 Th 0.4999 0.2500 0.6209
```



The following is a DFT calculation (GGA-PBE) of a relaxed structure of La6Pm2SmTh.

Properties
* crystal system: monoclinic

Cell and atoms, written as CIF:
```
data_La6Pm2SmTh
_space_group_name_H-M_alt 'C 1 2/m 1'
_space_group_IT_number 12
_space_group_name_Hall '-C 2y'
_cell_length_a 11.6153
_cell_length_b 6.9423
_cell_length_c 9.3396
_cell_angle_alpha 90.00
_cell_angle_beta 108.69
_cell_angle_gamma 90.00
loop_
_atom_site_label
_atom_site_type_symbol
_atom_site_fract_x
_atom_site_fract_y
_atom_site_fract_z
La1 La 0.1266 0.0000 0.4148
La2 La 0.1984 0.2629 0.8095
Pm1 Pm 0.0702 0.5000 0.1729
Sm1 Sm 0.0000 0.5000 0.5000
Th1 Th 0.0000 0.0000 0.0000
```



The following is a DFT calculation (GGA-PBE) of a relaxed structure of LaPm4Sm2Th.

Properties
* crystal system: monoclinic

Cell and atoms, written as CIF:
```
data_LaPm4Sm2Th
_space_group_name_H-M_alt 'P 1 2/m 1'
_space_group_IT_number 10
_space_group_name_Hall '-P 2y'
_cell_length_a 6.2928
_cell_length_b 3.6505
_cell_length_c 12.1402
_cell_angle_alpha 90.00
_cell_angle_beta 100.07
_cell_angle_gamma 90.00
loop_
_atom_site_label
_atom_site_type_symbol
_atom_site_fract_x
_atom_site_fract_y
_atom_site_fract_z
La1 La 0.0000 0.0000 0.0000
Pm1 Pm 0.2413 0.0000 0.7438
Pm2 Pm 0.2490 0.5000 0.2531
Sm1 Sm 0.5000 0.0000 0.5000
Sm2 Sm 0.5000 0.5000 0.0000
Th1 Th 0.0000 0.5000 0.5000
```



The following is a DFT calculation (GGA-PBE) of a relaxed structure of LaPm2Sm4Th.

Properties
* crystal system: monoclinic

Cell and atoms, written as CIF:
```
data_LaPm2Sm4Th
_space_group_name_H-M_alt 'P 1 2/m 1'
_space_group_IT_number 10
_space_group_name_Hall '-P 2y'
_cell_length_a 6.2958
_cell_length_b 3.6476
_cell_length_c 12.0805
_cell_angle_alpha 90.00
_cell_angle_beta 100.15
_cell_angle_gamma 90.00
loop_
_atom_site_label
_atom_site_type_symbol
_atom_site_fract_x
_atom_site_fract_y
_atom_site_fract_z
La1 La 0.0000 0.0000 0.0000
Pm1 Pm 0.5000 0.0000 0.5000
Pm2 Pm 0.5000 0.5000 0.0000
Sm1 Sm 0.2426 0.0000 0.7437
Sm2 Sm 0.2473 0.5000 0.2528
Th1 Th 0.0000 0.5000 0.5000
```



The following is a DFT calculation (GGA-PBE) of a relaxed structure of La2PmSm5Th.

Properties
* crystal system: orthorhombic

Cell and atoms, written as CIF:
```
data_La2PmSm5Th
_space_group_name_H-M_alt 'C m c 21'
_space_group_IT_number 36
_space_group_name_Hall 'C 2c -2'
_cell_length_a 5.7633
_cell_length_b 20.4401
_cell_length_c 10.6921
_cell_angle_alpha 90.00
_cell_angle_beta 90.00
_cell_angle_gamma 90.00
loop_
_atom_site_label
_atom_site_type_symbol
_atom_site_fract_x
_atom_site_fract_y
_atom_site_fract_z
La1 La 0.0000 0.1166 0.0000
La2 La 0.0000 0.1170 0.4092
Pm1 Pm 0.0000 0.4100 0.1325
Sm1 Sm 0.0000 0.0168 0.7026
Sm2 Sm 0.0000 0.2762 0.9954
Sm3 Sm 0.0000 0.2965 0.3856
Sm4 Sm 0.0000 0.3889 0.7039
Sm5 Sm 0.0000 0.4797 0.4191
Th1 Th 0.0000 0.2008 0.6916
```



The following is a DFT calculation (GGA-PBE) of a relaxed structure of LaPmSm2Tl2.

Properties
* crystal system: orthorhombic

Cell and atoms, written as CIF:
```
data_LaPmSm2Tl2
_space_group_name_H-M_alt 'P m c 21'
_space_group_IT_number 26
_space_group_name_Hall 'P 2c -2'
_cell_length_a 5.2581
_cell_length_b 10.3579
_cell_length_c 6.9054
_cell_angle_alpha 90.00
_cell_angle_beta 90.00
_cell_angle_gamma 90.00
loop_
_atom_site_label
_atom_site_type_symbol
_atom_site_fract_x
_atom_site_fract_y
_atom_site_fract_z
La1 La 0.0000 0.0448 0.0000
Pm1 Pm 0.5000 0.1891 0.7362
Sm1 Sm 0.0000 0.3176 0.3786
Sm2 Sm 0.5000 0.4563 0.1035
Tl1 Tl 0.0000 0.3687 0.8473
Tl2 Tl 0.5000 0.1396 0.2677
```



The following is a DFT calculation (GGA-PBE) of a relaxed structure of La2PmSm7Tl2.

Properties
* crystal system: orthorhombic

Cell and atoms, written as CIF:
```
data_La2PmSm7Tl2
_space_group_name_H-M_alt 'C m m m'
_space_group_IT_number 65
_space_group_name_Hall '-C 2 2'
_cell_length_a 7.0069
_cell_length_b 10.1887
_cell_length_c 11.3239
_cell_angle_alpha 90.00
_cell_angle_beta 90.00
_cell_angle_gamma 90.00
loop_
_atom_site_label
_atom_site_type_symbol
_atom_site_fract_x
_atom_site_fract_y
_atom_site_fract_z
La1 La 0.0000 0.0000 0.1477
Pm1 Pm 0.0000 0.5000 0.5000
Sm1 Sm 0.0000 0.0000 0.5000
Sm2 Sm 0.0000 0.3144 0.0000
Sm3 Sm 0.2500 0.2500 0.3307
Tl1 Tl 0.0000 0.5000 0.2242
```



The following is a DFT calculation (GGA-PBE) of a relaxed structure of La2Pm7SmTl2.

Properties
* crystal system: orthorhombic

Cell and atoms, written as CIF:
```
data_La2Pm7SmTl2
_space_group_name_H-M_alt 'C m m m'
_space_group_IT_number 65
_space_group_name_Hall '-C 2 2'
_cell_length_a 7.0168
_cell_length_b 10.1860
_cell_length_c 11.3984
_cell_angle_alpha 90.00
_cell_angle_beta 90.00
_cell_angle_gamma 90.00
loop_
_atom_site_label
_atom_site_type_symbol
_atom_site_fract_x
_atom_site_fract_y
_atom_site_fract_z
La1 La 0.0000 0.0000 0.1472
Pm1 Pm 0.0000 0.0000 0.5000
Pm2 Pm 0.0000 0.3157 0.0000
Pm3 Pm 0.2500 0.2500 0.3322
Sm1 Sm 0.0000 0.5000 0.5000
Tl1 Tl 0.0000 0.5000 0.2255
```



Taking the records one at a time from the top gives formation enthalpy at 0 K values of 0.033, 0.188, 0.032, 0.030, 0.149, -0.276, -0.027, -0.033 eV per atom.
Taking the records one at a time from the top gives total DFT energy (no corrections) values of -5.1760, -4.9322, -5.0665, -5.0604, -4.9205, -4.2505, -4.3912, -4.4127 eV per atom.